BaZr2Cr PBE-GGA optimized geometry; V = 91 Å³/f.u.; ΔE to the lowest computed polymorph = 621 meV per atom; Fermi-level density of states = 9.47 states/eV per cell; ΔE_f = 1007 meV per atom; spin magnetization = 0.00 μB/f.u.
1.0
-4.2110 2.6512 0.8511
-1.0916 3.9980 -2.8828
-3.8304 -0.2242 -3.2808
Zr Cr Ba
2 1 1
Direct
0.2500 0.2500 0.2500
0.7500 0.7500 0.7500
0.0000 0.0000 0.0000
0.5000 0.5000 0.5000